# 1
First-principles (GGA-PBEsol) data for SbRuCl2 after structural relaxation, as listed in Alexandria.

Output
Offset from the most stable computed form   0.0 kJ per mole of atoms
Volume   17.752 A^3/atom
Spin magnetization   0.002 μB per cell
Raw formation energy   0.363 eV/atom
Crystal system   orthorhombic
Space-group type   No. 47

Cell lengths 3.0587, 4.4880, 5.1727 Å; angles 90.00, 90.00, 90.00 degrees
Closest atoms and distances in Å follow each position.
Positions (direct):
Cl: 0.5000 0.0000 0.5000  4 Sb 2.72, 4 Cl 3.00
Cl: 0.0000 0.0000 0.0000  4 Ru 2.72, 4 Cl 3.00
Sb: 0.0000 0.5000 0.5000  4 Cl 2.72, 4 Ru 3.00
Ru: 0.5000 0.5000 0.0000  4 Cl 2.72, 4 Sb 3.00


# 2
First-principles (GGA-PBEsol) data for LaB5HO10 after structural relaxation, as listed in Alexandria.

Output
Volume   9.804 A^3/atom
Spin magnetization   4.175 μB per cell
Crystal system   monoclinic
Space-group type   No. 14
Electronic total energy   -548.63 eV per cell

Cell lengths 6.5081, 10.3754, 10.0393 Å; angles 90.00, 90.00, 100.43 degrees
Closest atoms and distances in Å follow each position.
Positions (direct):
O: 0.8245 0.4945 0.5880  2 B 1.47-1.48
O: 0.5589 0.3711 0.1455  2 B 1.36-1.47
O: 0.0088 0.8369 0.9778  2 B 1.39-1.48
O: 0.6755 0.0055 0.0880  2 B 1.47-1.48
O: 0.9906 0.7100 0.5865  1 H 0.98
O: 0.8761 0.6664 0.1283  1 B 1.36
O: 0.1755 0.5055 0.4120  2 B 1.47-1.48
O: 0.3245 0.9945 0.9120  2 B 1.47-1.48
O: 0.9880 0.0529 0.2243  2 B 1.37-1.50
O: 0.0589 0.8711 0.3545  2 B 1.36-1.47
O: 0.4880 0.5529 0.2757  2 B 1.37-1.50
O: 0.2261 0.3645 0.2230  2 B 1.38-1.47
O: 0.0120 0.9471 0.7757  2 B 1.37-1.50
O: 0.7533 0.2100 0.1960  2 B 1.45-1.47
O: 0.9411 0.1289 0.6455  2 B 1.36-1.47
O: 0.5088 0.3369 0.5222  2 B 1.39-1.48
O: 0.6239 0.8336 0.6283  1 B 1.36
O: 0.2533 0.7100 0.3040  2 B 1.45-1.47
O: 0.2739 0.1355 0.7230  2 B 1.38-1.47
O: 0.9912 0.1631 0.0222  2 B 1.39-1.48
O: 0.0094 0.2900 0.4135  1 H 0.98
O: 0.4912 0.6631 0.4778  2 B 1.39-1.48
O: 0.7739 0.6355 0.7770  2 B 1.38-1.47
O: 0.7261 0.8645 0.2770  2 B 1.38-1.47
O: 0.4906 0.2100 0.9135  1 H 0.98
O: 0.6352 0.1316 0.5218  2 B 1.36-1.45
O: 0.6063 0.0655 0.7555  2 B 1.48-1.49
O: 0.1352 0.6316 0.9782  2 B 1.36-1.45
O: 0.7467 0.2900 0.6960  2 B 1.45-1.47
O: 0.3937 0.9345 0.2445  2 B 1.48-1.49
O: 0.5120 0.4471 0.7243  2 B 1.37-1.50
O: 0.8937 0.4345 0.2555  2 B 1.48-1.49
O: 0.2467 0.7900 0.8040  2 B 1.45-1.47
O: 0.8648 0.3684 0.0218  2 B 1.36-1.45
O: 0.4411 0.6289 0.8545  2 B 1.36-1.47
O: 0.3648 0.8684 0.4782  2 B 1.36-1.45
O: 0.3761 0.1664 0.3717  1 B 1.36
O: 0.5094 0.7900 0.0865  1 H 0.98
O: 0.1063 0.5655 0.7445  2 B 1.48-1.49
O: 0.1239 0.3336 0.8717  1 B 1.36
B: 0.6526 0.3906 0.6316  4 O 1.45-1.50
B: 0.2746 0.8479 0.3460  4 O 1.45-1.48
B: 0.0791 0.3985 0.3224  4 O 1.46-1.49
B: 0.3474 0.6094 0.3684  4 O 1.45-1.50
B: 0.2254 0.6521 0.8460  4 O 1.45-1.48
B: 0.9271 0.9338 0.2845  3 O 1.36-1.38
B: 0.9209 0.6015 0.6776  4 O 1.46-1.49
B: 0.7746 0.3479 0.1540  4 O 1.45-1.48
B: 0.7254 0.1521 0.6540  4 O 1.45-1.48
B: 0.5100 0.2116 0.4728  3 O 1.36-1.39
B: 0.4209 0.1015 0.8224  4 O 1.46-1.49
B: 0.8474 0.1094 0.1316  4 O 1.45-1.50
B: 0.0729 0.0662 0.7155  3 O 1.36-1.38
B: 0.1526 0.8906 0.8684  4 O 1.45-1.50
B: 0.5791 0.8985 0.1776  4 O 1.46-1.49
B: 0.5729 0.5662 0.7845  3 O 1.36-1.38
B: 0.0100 0.7116 0.0272  3 O 1.36-1.39
B: 0.4900 0.7884 0.5272  3 O 1.36-1.39
B: 0.4271 0.4338 0.2155  3 O 1.36-1.38
B: 0.9900 0.2884 0.9728  3 O 1.36-1.39
H: 0.4128 0.7163 0.1267  1 O 0.98
H: 0.0872 0.7837 0.6267  1 O 0.98
H: 0.9128 0.2163 0.3733  1 O 0.98
H: 0.5872 0.2837 0.8733  1 O 0.98
La: 0.3552 0.1394 0.1336  8 O 2.41-2.67
La: 0.8552 0.6394 0.3664  8 O 2.41-2.67
La: 0.6448 0.8606 0.8664  8 O 2.41-2.67
La: 0.1448 0.3606 0.6336  8 O 2.41-2.67


# 3
First-principles (GGA-PBEsol) data for CaHgAu2 after structural relaxation, as listed in Alexandria.

Output
DFT formation energy   -0.475 eV/atom
Volume   20.244 A^3/atom
Spin magnetization   0.000 μB per cell
Crystal system   cubic
Space-group type   No. 216

Cell lengths 4.8575, 4.8575, 4.8547 Å; angles 59.98, 59.98, 60.00 degrees
Closest atoms and distances in Å follow each position.
Positions (direct):
Hg: 0.2499 0.2499 0.2503  4 Au 2.97, 4 Ca 2.97
Au: 0.7501 0.7501 0.7497  4 Au 2.97, 4 Ca 2.97
Au: 0.0000 0.0000 0.0001  4 Au 2.97, 4 Hg 2.97
Ca: 0.5001 0.5001 0.4998  4 Au 2.97, 4 Hg 2.97


# 4
First-principles (GGA-PBEsol) data for In3BAs after structural relaxation, as listed in Alexandria.

Output
DFT formation energy   0.421 eV/atom
Volume   20.523 A^3/atom
Spin magnetization   0.000 μB per cell
Crystal system   cubic
Space-group type   No. 221

Cell lengths 4.6817, 4.6817, 4.6817 Å; angles 90.00, 90.00, 90.00 degrees
Closest atoms and distances in Å follow each position.
Positions (direct):
B: 0.0000 0.0000 0.0000  6 In 2.34
As: 0.5000 0.5000 0.5000  12 In 3.31
In: 0.0000 0.0000 0.5000  2 B 2.34
In: 0.0000 0.5000 0.0000  2 B 2.34
In: 0.5000 0.0000 0.0000  2 B 2.34


# 5
First-principles (GGA-PBEsol) data for Al2Ag2W after structural relaxation, as listed in Alexandria.

Output
DFT formation energy   0.731 eV/atom
Volume   16.583 A^3/atom
Spin magnetization   0.667 μB per cell
Crystal system   tetragonal
Space-group type   No. 139

Cell lengths 3.7956, 3.7956, 6.3505 Å; angles 107.39, 107.39, 90.00 degrees
Closest atoms and distances in Å follow each position.
Positions (direct):
W: 0.0000 0.0000 0.0000  8 Ag 2.96
Al: 0.2500 0.7500 0.5000  4 Ag 2.51, 4 Al 2.68
Al: 0.7500 0.2500 0.5000  4 Ag 2.51, 4 Al 2.68
Ag: 0.3921 0.3921 0.7841  1 Ag 2.48, 4 Al 2.51
Ag: 0.6079 0.6079 0.2159  1 Ag 2.48, 4 Al 2.51


# 6
First-principles (GGA-PBEsol) data for Sr3NbSi after structural relaxation, as listed in Alexandria.

Output
Volume   41.331 A^3/atom
Spin magnetization   4.886 μB per cell
Raw formation energy   0.789 eV/atom
Crystal system   cubic
Space-group type   No. 221

Cell lengths 5.9122, 5.9122, 5.9122 Å; angles 90.00, 90.00, 90.00 degrees
Closest atoms and distances in Å follow each position.
Positions (direct):
Sr: 0.5000 0.0000 0.0000  2 Si 2.96
Sr: 0.0000 0.5000 0.0000  2 Si 2.96
Sr: 0.0000 0.0000 0.5000  2 Si 2.96
Nb: 0.5000 0.5000 0.5000  12 Sr 4.18
Si: 0.0000 0.0000 0.0000  6 Sr 2.96


# 7
First-principles (GGA-PBEsol) data for NaLi2Cd after structural relaxation, as listed in Alexandria.

Output
DFT formation energy   0.058 eV/atom
Volume   23.541 A^3/atom
Spin magnetization   0.000 μB per cell
Crystal system   tetragonal
Space-group type   No. 122

Cell lengths 4.2801, 4.2801, 10.7165 Å; angles 101.52, 101.52, 90.00 degrees
Closest atoms and distances in Å follow each position.
Positions (direct):
Na: 0.5000 0.5000 0.0000  4 Cd 3.03, 4 Li 3.03
Na: 0.7500 0.2500 0.5000  4 Cd 3.03, 4 Li 3.03
Li: 0.6250 0.6552 0.7500  2 Li 2.85, 2 Cd 2.94, 2 Na 3.03
Li: 0.9052 0.3750 0.2500  2 Li 2.85, 2 Cd 2.94, 2 Na 3.03
Li: 0.1250 0.0948 0.7500  2 Li 2.85, 2 Cd 2.94, 2 Na 3.03
Li: 0.3448 0.8750 0.2500  2 Li 2.85, 2 Cd 2.94, 2 Na 3.03
Cd: 0.2500 0.7500 0.5000  4 Li 2.94, 4 Na 3.03
Cd: 0.0000 0.0000 0.0000  4 Li 2.94, 4 Na 3.03


# 8
First-principles (GGA-PBEsol) data for Li2SiNiO4 after structural relaxation, as listed in Alexandria.

Output
Offset from the most stable computed form   4.7 kJ per mole of atoms
Volume   10.027 A^3/atom
Spin magnetization   5.755 μB per cell
Raw formation energy   -1.959 eV/atom
Crystal system   trigonal
Space-group type   No. 144

Cell lengths 4.9736, 4.9736, 11.2332 Å; angles 90.00, 90.00, 120.00 degrees
Closest atoms and distances in Å follow each position.
Positions (direct):
Ni: 0.8102 0.1154 0.8278  4 O 1.93-1.98
Ni: 0.3052 0.1898 0.4945  4 O 1.93-1.98
Ni: 0.8846 0.6948 0.1612  4 O 1.93-1.98
Li: 0.2101 0.2269 0.2521  4 O 1.92-2.02
Li: 0.0168 0.7899 0.9187  4 O 1.92-2.02
Li: 0.7731 0.9832 0.5854  4 O 1.92-2.02
Li: 0.8632 0.5426 0.4132  4 O 1.92-2.00
Li: 0.4574 0.3206 0.7465  4 O 1.92-2.00
Li: 0.6794 0.1368 0.0798  4 O 1.92-2.00
O: 0.0157 0.7755 0.5577  1 Si 1.64
O: 0.4856 0.9430 0.7093  1 Si 1.64
O: 0.6349 0.1009 0.4453  1 Si 1.65
O: 0.4660 0.3651 0.1119  1 Si 1.65
O: 0.0570 0.5426 0.0426  1 Si 1.64
O: 0.4574 0.5144 0.3760  1 Si 1.64
O: 0.2245 0.2403 0.8910  1 Si 1.64
O: 0.7597 0.9843 0.2243  1 Si 1.64
O: 0.1870 0.3577 0.6266  1 Si 1.65
O: 0.6423 0.8294 0.9599  1 Si 1.65
O: 0.8991 0.5340 0.7786  1 Si 1.65
O: 0.1706 0.8130 0.2933  1 Si 1.65
Si: 0.3443 0.4921 0.0007  4 O 1.64-1.65
Si: 0.1478 0.6557 0.6674  4 O 1.64-1.65
Si: 0.5079 0.8522 0.3340  4 O 1.64-1.65


# 9
First-principles (GGA-PBEsol) data for Ag2Hg after structural relaxation, as listed in Alexandria.

Output
DFT formation energy   0.009 eV/atom
Offset from the most stable computed form   0.7 kJ per mole of atoms
Volume   17.880 A^3/atom
Spin magnetization   0.000 μB per cell
Crystal system   orthorhombic
Space-group type   No. 71

Cell lengths 3.0006, 4.0297, 5.0981 Å; angles 113.28, 107.11, 90.00 degrees
Closest atoms and distances in Å follow each position.
Positions (direct):
Ag: 0.6697 0.6697 0.3394  7 Ag 2.89-3.01, 5 Hg 2.93
Ag: 0.3303 0.3303 0.6606  7 Ag 2.89-3.01, 5 Hg 2.93
Hg: 0.0000 0.0000 0.0000  10 Ag 2.93, 2 Hg 3.00


# 10
First-principles (GGA-PBEsol) data for Mg2GaMoOs after structural relaxation, as listed in Alexandria.

Output
DFT formation energy   1.463 eV/atom
Volume   18.862 A^3/atom
Spin magnetization   0.617 μB per cell
Crystal system   tetragonal
Space-group type   No. 123

Cell lengths 4.4952, 4.4952, 4.6673 Å; angles 90.00, 90.00, 90.00 degrees
Closest atoms and distances in Å follow each position.
Positions (direct):
Mo: 0.0000 0.0000 0.5000  2 Ga 2.33
Os: 0.5000 0.5000 0.5000  4 Mo 3.18, 8 Mg 3.24
Mg: 0.5000 0.0000 0.0000  2 Ga 2.25
Mg: 0.0000 0.5000 0.0000  2 Ga 2.25
Ga: 0.0000 0.0000 0.0000  4 Mg 2.25, 2 Mo 2.33


# 11
First-principles (GGA-PBEsol) data for CaB2H8 after structural relaxation, as listed in Alexandria.

Output
Offset from the most stable computed form   1.9 kJ per mole of atoms
Volume   9.171 A^3/atom
Spin magnetization   0.000 μB per cell
Crystal system   tetragonal
Space-group type   No. 122

Cell lengths 5.7176, 5.7176, 7.3779 Å; angles 112.80, 112.80, 90.00 degrees
Closest atoms and distances in Å follow each position.
Positions (direct):
H: 0.4122 0.1677 0.5822  1 B 1.22
H: 0.5855 0.5878 0.4178  1 B 1.22
H: 0.3155 0.7878 0.8528  1 B 1.23
H: 0.2122 0.4627 0.1472  1 B 1.23
H: 0.1700 0.4145 0.5822  1 B 1.22
H: 0.5373 0.0650 0.8528  1 B 1.23
H: 0.4177 0.1622 0.0822  1 B 1.22
H: 0.0378 0.0655 0.3528  1 B 1.23
H: 0.9345 0.6850 0.6472  1 B 1.23
H: 0.3150 0.2873 0.3528  1 B 1.23
H: 0.6645 0.9200 0.0822  1 B 1.22
H: 0.0800 0.5823 0.9178  1 B 1.22
H: 0.7127 0.9622 0.6472  1 B 1.23
H: 0.8323 0.8300 0.4178  1 B 1.22
H: 0.9350 0.6845 0.1472  1 B 1.23
H: 0.8378 0.3355 0.9178  1 B 1.22
B: 0.0173 0.5173 0.0346  4 H 1.22-1.23
B: 0.2327 0.2327 0.4654  4 H 1.22-1.23
B: 0.4827 0.9827 0.9654  4 H 1.22-1.23
B: 0.7673 0.7673 0.5346  4 H 1.22-1.23
Ca: 0.2500 0.7500 0.5000  12 H 2.32-2.53
Ca: 0.0000 0.0000 0.0000  12 H 2.32-2.53


# 12
First-principles (GGA-PBEsol) data for KSiTc3 after structural relaxation, as listed in Alexandria.

Output
Volume   16.875 A^3/atom
Spin magnetization   2.164 μB per cell
Raw formation energy   3.166 eV/atom
Crystal system   cubic
Space-group type   No. 221

Cell lengths 4.3860, 4.3860, 4.3860 Å; angles 90.00, 90.00, 90.00 degrees
Closest atoms and distances in Å follow each position.
Positions (direct):
Tc: 0.0000 0.5000 0.0000  2 K 2.19
Tc: 0.5000 0.0000 0.0000  2 K 2.19
Tc: 0.0000 0.0000 0.5000  2 K 2.19
Si: 0.5000 0.5000 0.5000  12 Tc 3.10
K: 0.0000 0.0000 0.0000  6 Tc 2.19